Record 1
The following is a PBE-GGA calculation of a geometry-optimized TlNi2Sb structure, from Alexandria.

Cell: 3.6100 3.6090 5.4574 Å, 90.00 90.00 90.00°
Last column: nearest neighbours and their distance in Å.
Fractional positions:
Ni 0.0000 0.0000 0.9725  1 Sb 2.51, 4 Tl 2.71
Ni 0.5000 0.5000 0.2868  2 Tl 2.61-2.85, 4 Sb 2.67
Sb 0.0000 0.0000 0.4323  5 Ni 2.51-2.67
Tl 0.5000 0.5000 0.8083  6 Ni 2.61-2.85

Results
- Formation energy from raw total energies: 14 kJ per mole of atoms
- Energy: -17.46 eV per formula unit

***

Record 2
The following is a PBE-GGA calculation of a geometry-optimized TlNiSb2 structure, from Alexandria.

Cell: 4.0091 4.0091 7.8816 Å, 75.27 75.27 60.00°
Last column: nearest neighbours and their distance in Å.
Fractional positions:
Tl 0.5054 0.5054 0.4839  6 Sb 3.39-3.61, 1 Ni 3.59
Ni 0.6641 0.6641 0.0078  6 Sb 2.57-2.59
Sb 0.0492 0.0492 0.8523  3 Ni 2.59
Sb 0.2813 0.2813 0.1560  3 Ni 2.57

Results
- Formation energy from raw total energies: -12 kJ per mole of atoms
- Energy: -16.87 eV per formula unit
- Relative energy among the computed polymorphs: 0 meV/atom

***

Record 3
The following is a PBE-GGA calculation of a geometry-optimized TlNiSb2 structure, from Alexandria.

Cell: 3.2066 3.2066 9.4890 Å, 90.00 90.00 96.50°
Last column: nearest neighbours and their distance in Å.
Fractional positions:
Ni 0.5000 0.5000 0.7500  8 Sb 2.70-2.90
Sb 0.0000 0.0000 0.9236  4 Ni 2.70-2.90
Sb 0.0000 0.0000 0.5764  4 Ni 2.70-2.90
Tl 0.5000 0.5000 0.2500  4 Tl 3.21

Results
- Formation energy from raw total energies: 1 kJ per mole of atoms
- Energy: -16.36 eV per formula unit
- Relative energy among the computed polymorphs: 130 meV/atom

***

Record 4
The following is a PBE-GGA calculation of a geometry-optimized Tl3NiSb structure, from Alexandria.

Cell: 5.8445 5.8445 5.8445 Å, 90.00 90.00 90.00°
Last column: nearest neighbours and their distance in Å.
Fractional positions:
Sb 0.0000 0.0000 0.0000  6 Tl 2.92
Tl 0.0000 0.5000 0.0000  2 Sb 2.92
Tl 0.0000 0.0000 0.5000  2 Sb 2.92
Tl 0.5000 0.0000 0.0000  2 Sb 2.92
Ni 0.5000 0.5000 0.5000  12 Tl 4.13

Results
- Formation energy from raw total energies: 96 kJ per mole of atoms
- Energy: -12.04 eV per formula unit
- Relative energy among the computed polymorphs: 791 meV/atom